The following is a PBE-GGA calculation of a geometry-optimized Rb2MnZnBr6 structure, from the Alexandria database.

Summary:
**Excess energy over the best structure of this formula in the dataset**: 0.036 eV per atom
**Formation energy without anion corrections**: -1.15 eV/atom

```
data_Rb2MnZnBr6
_chemical_formula_sum 'Rb4 Mn2 Zn2 Br12'
_cell_length_a 7.573
_cell_length_b 7.573
_cell_length_c 10.680
_cell_angle_alpha 90.00
_cell_angle_beta 90.00
_cell_angle_gamma 90.00
_space_group_name_H-M_alt 'I 4/m m m'
_space_group_IT_number 139
_space_group_name_Hall '-I 4 2'
loop_
_atom_site_label
_atom_site_type_symbol
_atom_site_fract_x
_atom_site_fract_y
_atom_site_fract_z
_atom_site_occupancy
Rb1 Rb 0.000 0.500 0.250 1
Mn1 Mn 0.000 0.000 0.000 1
Zn1 Zn 0.000 0.000 0.500 1
Br1 Br 0.000 0.000 0.253 1
Br2 Br 0.250 0.250 0.000 1
```